[1]
Crystalline FeTeCl4 at its relaxed geometry. Source: Alexandria via LeMat-Bulk, functional PBE.

The structure in CIF format:
```
data_FeTeCl4
_chemical_formula_sum 'Fe1 Te1 Cl4'
_cell_length_a 5.7874
_cell_length_b 5.7874
_cell_length_c 5.7874
_cell_angle_alpha 60.00
_cell_angle_beta 60.00
_cell_angle_gamma 60.00
_symmetry_space_group_name_H-M 'P 1'
_symmetry_Int_Tables_number 1
_symmetry_space_group_name_Hall 'P 1'
loop_
_atom_site_label
_atom_site_type_symbol
_atom_site_fract_x
_atom_site_fract_y
_atom_site_fract_z
Fe1 Fe 0.0000 0.0000 0.0000
Te1 Te 0.7500 0.7500 0.7500
Cl1 Cl 0.3741 0.3741 0.3741
Cl2 Cl 0.3741 0.3741 0.8777
Cl3 Cl 0.3741 0.8777 0.3741
Cl4 Cl 0.8777 0.3741 0.3741
```

Output
VASP energy: -13.6 eV/cell
DOS(E_F): 1.4964 states/eV per atom

[2]
Crystalline FeTeCl2 at its relaxed geometry. Source: Alexandria via LeMat-Bulk, functional PBE.

The structure in CIF format:
```
data_FeTeCl2
_chemical_formula_sum 'Fe1 Te1 Cl2'
_cell_length_a 4.4227
_cell_length_b 4.4227
_cell_length_c 4.4705
_cell_angle_alpha 90.00
_cell_angle_beta 90.00
_cell_angle_gamma 90.00
_symmetry_space_group_name_H-M 'P 1'
_symmetry_Int_Tables_number 1
_symmetry_space_group_name_Hall 'P 1'
loop_
_atom_site_label
_atom_site_type_symbol
_atom_site_fract_x
_atom_site_fract_y
_atom_site_fract_z
Fe1 Fe 0.0000 0.0000 0.0000
Te1 Te 0.5000 0.5000 0.0000
Cl1 Cl 0.0000 0.5000 0.5000
Cl2 Cl 0.5000 0.0000 0.5000
```

Output
VASP energy: -13.3 eV/cell
DOS(E_F): 0.9987 states/eV per atom
ΔE to the lowest computed polymorph: 855.9 meV per atom